Material: YHo2ThSe4
Method: DFT, PBE-GGA
State: optimized geometry

The structure belongs to space group P2/m (No. 10); the cell edges are 7.1279, 4.0553 and 7.1505 Å and the angles 90.00°, 108.94° and 90.00°. Symmetry generates all atoms from Y at (0.0000, 0.0000, 0.0000), Ho at (0.0000, 0.5000, 0.5000), Ho at (0.5000, 0.0000, 0.5000), Th at (0.5000, 0.5000, 0.0000), Se at (0.2400, 0.0000, 0.7379) and Se at (0.2469, 0.5000, 0.2574).

Its density of states at the Fermi level is 4.27 states/eV/f.u. The total moment is 0.00 μB/f.u. For the uncorrected energy, the calculation gives -50.4 eV for the cell shown.